Record 1
VASP calculation (GGA-PBE) on a relaxed structure of Pm2SmPaAs5.

Unit cell a=5.077 b=5.077 c=11.014 alpha=90.00 beta=90.00 gamma=90.00
Positions (direct):
Pm 0.000 0.000 0.229
Pm 0.000 0.000 0.771
Sm 0.500 0.500 0.500
Pa 0.500 0.500 0.000
As 0.000 0.000 0.500
As 0.000 0.500 0.000
As 0.500 0.000 0.000
As 0.500 0.500 0.251
As 0.500 0.500 0.749

Output
Formation energy from the elements = -600.7 meV per atom

=====

Record 2
VASP calculation (GGA-PBE) on a relaxed structure of SiPS.

Unit cell a=6.021 b=4.890 c=6.759 alpha=90.00 beta=91.73 gamma=90.00
Positions (direct):
Si 0.245 0.012 0.366
Si 0.245 0.488 0.866
Si 0.755 0.512 0.134
Si 0.755 0.988 0.634
P 0.063 0.686 0.579
P 0.063 0.814 0.079
P 0.937 0.186 0.921
P 0.937 0.314 0.421
S 0.421 0.221 0.625
S 0.421 0.279 0.125
S 0.579 0.721 0.875
S 0.579 0.779 0.375

Output
Raw total energy = -5.14 eV per atom

=====

Record 3
VASP calculation (GGA-PBE) on a relaxed structure of Tb8Pm4Nd.

Unit cell a=10.045 b=10.045 c=10.045 alpha=43.33 beta=43.33 gamma=43.33
Positions (direct):
Tb 0.191 0.750 0.750
Tb 0.218 0.218 0.218
Tb 0.250 0.250 0.809
Tb 0.250 0.809 0.250
Tb 0.750 0.191 0.750
Tb 0.750 0.750 0.191
Tb 0.782 0.782 0.782
Tb 0.809 0.250 0.250
Pm 0.000 0.000 0.000
Pm 0.000 0.500 0.500
Pm 0.500 0.000 0.500
Pm 0.500 0.500 0.000
Nd 0.500 0.500 0.500

Output
Formation energy from the elements = 183.4 meV per atom

=====

Record 4
VASP calculation (GGA-PBE) on a relaxed structure of VSnSe2.

Unit cell a=9.192 b=9.192 c=9.192 alpha=20.93 beta=20.93 gamma=20.93
Positions (direct):
V 0.000 0.000 0.000
Sn 0.170 0.170 0.170
Se 0.392 0.392 0.392
Se 0.608 0.608 0.608

Output
Raw total energy = -5.46 eV per atom

=====

Record 5
VASP calculation (GGA-PBE) on a relaxed structure of CaTbPr6Tm2.

Unit cell a=9.045 b=9.045 c=9.921 alpha=94.45 beta=94.45 gamma=118.21
Positions (direct):
Ca 0.099 0.901 0.750
Ca 0.901 0.099 0.250
Tb 0.471 0.529 0.250
Tb 0.529 0.471 0.750
Pr 0.002 0.793 0.378
Pr 0.065 0.525 0.177
Pr 0.207 0.998 0.122
Pr 0.264 0.610 0.552
Pr 0.390 0.736 0.948
Pr 0.475 0.935 0.323
Pr 0.525 0.065 0.677
Pr 0.610 0.264 0.052
Pr 0.736 0.390 0.448
Pr 0.793 0.002 0.878
Pr 0.935 0.475 0.823
Pr 0.998 0.207 0.622
Tm 0.206 0.304 0.955
Tm 0.304 0.206 0.455
Tm 0.696 0.794 0.545
Tm 0.794 0.696 0.045

Output
Formation energy from the elements = 131.4 meV per atom

=====

Record 6
VASP calculation (GGA-PBE) on a relaxed structure of La2UBeRh6.

Unit cell a=7.019 b=7.019 c=7.019 alpha=51.14 beta=51.14 gamma=51.14
Positions (direct):
La 0.235 0.235 0.235
La 0.765 0.765 0.765
U 0.500 0.500 0.500
Be 0.000 0.000 0.000
Rh 0.240 0.240 0.713
Rh 0.240 0.713 0.240
Rh 0.287 0.760 0.760
Rh 0.713 0.240 0.240
Rh 0.760 0.287 0.760
Rh 0.760 0.760 0.287

Output
Formation energy from the elements = -571.9 meV per atom

=====

For each record above, in turn, the calculated V values are 31.55, 16.57, 33.29, 21.71, 35.35, 19.35 Å³ per atom.